# Pm3HoIr2

A geometry-optimized Pm3HoIr2 structure (PBE, Alexandria).

Values from the calculation:
total energy = -39.563 eV per formula unit
DFT formation energy = -0.50 eV/atom
SG = No. 12
excess energy over the best structure of this formula in the dataset = 56 meV/atom

Cell: 8.056 8.056 4.726 Å, 106.98 106.98 32.44°
Positions (direct):
1 Pm 0.000 0.000 0.000
2 Pm 0.313 0.313 0.812
3 Pm 0.687 0.687 0.188
4 Ho 0.500 0.500 0.500
5 Ir 0.126 0.126 0.626
6 Ir 0.874 0.874 0.374